#1
Density functional theory data (PBE) for an optimized crystal structure of ZnReBr2.

Unit cell a=4.882 b=4.882 c=3.182 alpha=90.00 beta=90.00 gamma=102.76
Atoms (fractional coordinates):
Zn (0.000, 0.000, 0.000)
Re (0.500, 0.500, 0.000)
Br (0.000, 0.500, 0.500)
Br (0.500, 0.000, 0.500)

Output
Theoretical density   9.2 g/cm3
DOS at the Fermi energy   3.4 states/eV per cell
Total magnetic moment   0.03 μB/f.u.

---

#2
Density functional theory data (PBE) for an optimized crystal structure of ZnReBr2.

Unit cell a=6.812 b=6.812 c=6.812 alpha=147.16 beta=147.16 gamma=47.12
Atoms (fractional coordinates):
Zn (0.000, 0.000, 0.000)
Re (0.750, 0.250, 0.500)
Br (0.250, 0.750, 0.500)
Br (0.500, 0.500, 0.000)

Output
Theoretical density   7.4 g/cm3
DOS at the Fermi energy   2.6 states/eV per cell
Total magnetic moment   3.54 μB/f.u.

---

The least stable of them is #1.

---

#1
Density functional theory data (PBE) for an optimized crystal structure of LiTc2Ru.

Unit cell a=4.887 b=4.887 c=2.650 alpha=90.00 beta=90.00 gamma=118.59
Atoms (fractional coordinates):
Li (0.000, 0.000, 0.000)
Tc (0.000, 0.500, 0.500)
Tc (0.500, 0.000, 0.500)
Ru (0.500, 0.500, 0.000)

Output
Theoretical density   9.1 g/cm3
DOS at the Fermi energy   4.7 states/eV per cell
Total magnetic moment   0.00 μB/f.u.

---

#2
Density functional theory data (PBE) for an optimized crystal structure of LiTc2Ru.

Unit cell a=3.064 b=3.064 c=5.683 alpha=90.00 beta=90.00 gamma=90.00
Atoms (fractional coordinates):
Li (0.000, 0.000, 0.000)
Tc (0.500, 0.500, 0.215)
Tc (0.500, 0.500, 0.785)
Ru (0.000, 0.000, 0.500)

Output
Theoretical density   9.5 g/cm3
DOS at the Fermi energy   4.0 states/eV per cell
Total magnetic moment   0.00 μB/f.u.

---

The least stable of them is #2.

---

#1
Density functional theory data (PBE) for an optimized crystal structure of LiBPb3.

Unit cell a=5.139 b=5.139 c=5.139 alpha=90.00 beta=90.00 gamma=90.00
Atoms (fractional coordinates):
Li (0.000, 0.000, 0.000)
B (0.500, 0.500, 0.500)
Pb (0.000, 0.500, 0.500)
Pb (0.500, 0.000, 0.500)
Pb (0.500, 0.500, 0.000)

Output
Theoretical density   7.8 g/cm3
DOS at the Fermi energy   2.5 states/eV per cell
Total magnetic moment   0.00 μB/f.u.

---

#2
Density functional theory data (PBE) for an optimized crystal structure of LiBPb3.

Unit cell a=5.106 b=5.106 c=5.106 alpha=90.00 beta=90.00 gamma=90.00
Atoms (fractional coordinates):
Li (0.000, 0.000, 0.000)
B (0.500, 0.500, 0.500)
Pb (0.000, 0.000, 0.500)
Pb (0.000, 0.500, 0.000)
Pb (0.500, 0.000, 0.000)

Output
Theoretical density   8.0 g/cm3
DOS at the Fermi energy   2.6 states/eV per cell
Total magnetic moment   0.00 μB/f.u.

---

The least stable of them is #2.